Below is a relaxed structure of Nd2ThOs, with properties calculated at the GGA-PBE level.

a = 3.974 Å, b = 6.515 Å, c = 9.719 Å
α = 90.00°, β = 90.00°, γ = 107.73°
Element x y z (fractional)
1 Nd 0.356 0.712 0.930
2 Nd 0.644 0.288 0.430
3 Nd 0.644 0.288 0.070
4 Th 0.085 0.170 0.750
5 Th 0.915 0.830 0.250
6 Os 0.264 0.528 0.250
7 Os 0.736 0.472 0.750
8 Nd 0.356 0.712 0.570

Results
Its space group is Cmcm (63). As for the energy of formation from the pure elements: -0.13 eV/atom. Its crystal system is orthorhombic. The total DFT energy (no corrections) is -57.4 eV per cell. Its density is 9.85 Mg/m³.

=====

Below is a relaxed structure of NdTh3Os8, with properties calculated at the GGA-PBE level.

a = 5.453 Å, b = 5.453 Å, c = 9.459 Å
α = 73.25°, β = 73.25°, γ = 60.00°
Element x y z (fractional)
1 Os 0.938 0.938 0.687
2 Os 0.438 0.936 0.188
3 Os 0.438 0.438 0.188
4 Os 0.688 0.688 0.936
5 Os 0.437 0.938 0.687
6 Th 0.375 0.375 0.876
7 Th 0.999 0.999 0.003
8 Nd 0.875 0.875 0.375
9 Th 0.500 0.500 0.499
10 Os 0.936 0.438 0.188
11 Os 0.188 0.188 0.436
12 Os 0.938 0.437 0.687

Results
Its space group is R3m (160). As for the energy of formation from the pure elements: -0.21 eV/atom. Its crystal system is trigonal. The total DFT energy (no corrections) is -119.4 eV per cell. Its density is 17.08 Mg/m³.

=====

Below is a relaxed structure of Nd3Th2Os2, with properties calculated at the GGA-PBE level.

a = 4.019 Å, b = 6.672 Å, c = 8.959 Å
α = 109.21°, β = 102.96°, γ = 107.53°
Element x y z (fractional)
1 Th 0.648 0.479 0.817
2 Th 0.352 0.521 0.183
3 Os 0.010 0.827 0.193
4 Nd 0.500 0.000 0.000
5 Nd 0.802 0.176 0.429
6 Nd 0.198 0.824 0.571
7 Os 0.990 0.173 0.807

Results
Its space group is C2/m (12). As for the energy of formation from the pure elements: -0.17 eV/atom. Its crystal system is monoclinic. The total DFT energy (no corrections) is -52.8 eV per cell. Its density is 10.50 Mg/m³.

=====

Below is a relaxed structure of NdThOs, with properties calculated at the GGA-PBE level.

a = 4.940 Å, b = 4.940 Å, c = 4.940 Å
α = 60.00°, β = 60.00°, γ = 60.00°
Element x y z (fractional)
1 Nd 0.000 0.000 0.000
2 Os 0.250 0.250 0.250
3 Th 0.500 0.500 0.500

Results
Its space group is F-43m (216). As for the energy of formation from the pure elements: -0.12 eV/atom. Its crystal system is cubic. The total DFT energy (no corrections) is -23.8 eV per cell. Its density is 11.03 Mg/m³.

=====

Below is a relaxed structure of NdThOs, with properties calculated at the GGA-PBE level.

a = 3.471 Å, b = 3.471 Å, c = 7.339 Å
α = 103.68°, β = 103.68°, γ = 90.00°
Element x y z (fractional)
1 Th 0.708 0.708 0.416
2 Os 0.328 0.328 0.655
3 Nd 0.964 0.964 0.929

Results
Its space group is I4mm (107). As for the energy of formation from the pure elements: -0.05 eV/atom. Its crystal system is tetragonal. The total DFT energy (no corrections) is -23.6 eV per cell. Its density is 11.29 Mg/m³.

=====

Below is a relaxed structure of Nd2ThOs9, with properties calculated at the GGA-PBE level.

a = 5.429 Å, b = 5.292 Å, c = 9.343 Å
α = 74.17°, β = 74.25°, γ = 60.87°
Element x y z (fractional)
1 Nd 0.144 0.144 0.577
2 Os 0.581 0.579 0.746
3 Os 0.605 0.688 0.009
4 Os 0.050 0.596 0.771
5 Os 0.500 0.500 0.500
6 Os 0.950 0.404 0.229
7 Os 0.406 0.923 0.250
8 Os 0.419 0.421 0.254
9 Nd 0.856 0.856 0.423
10 Os 0.594 0.077 0.750
11 Os 0.395 0.312 0.991
12 Th 0.000 0.000 0.000

Results
Its space group is P-1 (2). As for the energy of formation from the pure elements: -0.02 eV/atom. Its crystal system is triclinic. The total DFT energy (no corrections) is -118.3 eV per cell. Its density is 16.66 Mg/m³.

=====

| no. | D(E_F) (states/eV/atom) |
| --- | --- |
| 1 | 1.31 |
| 2 | 0.55 |
| 3 | 1.01 |
| 4 | 0.77 |
| 5 | 0.98 |
| 6 | 1.07 |